Density functional theory data (GGA-PBE) for an optimized crystal structure of CeSn2P2Pd7.

Unit cell a=4.1401 b=4.1401 c=13.3241 alpha=96.93 beta=96.93 gamma=90.85
Positions (direct):
Ce  0.0000  0.0000  0.0000
Sn  0.2741  0.2741  0.3803
Sn  0.7259  0.7259  0.6197
P  0.3911  0.3911  0.7444
P  0.6089  0.6089  0.2556
Pd  0.0634  0.5528  0.1626
Pd  0.1930  0.1930  0.5765
Pd  0.4472  0.9366  0.8374
Pd  0.5000  0.5000  0.0000
Pd  0.5528  0.0634  0.1626
Pd  0.8070  0.8070  0.4235
Pd  0.9366  0.4472  0.8374

**N(E_F)**: 7.796 states/eV/f.u.
**Crystal system**: monoclinic
**E_form**: -0.4490 eV/atom
**DFT total energy**: -5.541 eV/atom